La4SmHg: optimized geometry, PBE.

Results
Total moment, μB per formula unit: 0.00
V, Å³/f.u.: 229.9
Final energy, eV per atom: -3.907
DOS at the Fermi energy, states/eV/cell: 10.0

abc: 5.4483 5.4509 7.7415
angles: 89.98 89.98 90.00
Positions (direct):
La (0.5014, 0.9976, 0.7388)
La (0.0012, 0.4971, 0.2575)
La (0.0014, 0.4974, 0.7388)
La (0.5013, 0.9970, 0.2573)
Hg (0.0013, 0.9973, 0.4981)
Sm (0.5012, 0.4974, 0.9983)